# Nd2Ag3Hg GGA-PBE optimized geometry
# DFT formation energy in eV/atom: -0.31
# Density of states at the Fermi level in states/eV/cell: 8.5
# Crystal system: orthorhombic
# Size of the total moment in Bohr magnetons per cell: 0.0
data_Nd2Ag3Hg
_chemical_formula_sum 'Nd4 Ag6 Hg2'
_space_group_name_H-M_alt 'P 1'
_space_group_IT_number 1
_space_group_name_Hall 'P 1'
_cell_length_a 9.860
_cell_length_b 9.220
_cell_length_c 5.995
_cell_angle_alpha 77.60
_cell_angle_beta 65.97
_cell_angle_gamma 36.43
loop_
_atom_site_label
_atom_site_fract_x
_atom_site_fract_y
_atom_site_fract_z
Nd1 0.248 0.752 0.752
Nd2 0.250 0.250 0.250
Nd3 0.750 0.750 0.750
Nd4 0.752 0.248 0.248
Ag1 0.165 0.165 0.835
Ag2 0.166 0.670 0.330
Ag3 0.330 0.834 0.166
Ag4 0.670 0.166 0.834
Ag5 0.834 0.330 0.670
Ag6 0.835 0.835 0.165
Hg1 0.333 0.333 0.667
Hg2 0.667 0.667 0.333